VASP calculation (meta-GGA SCAN) on a PBEsol-optimized structure of Rb2NaI2.

Cell lengths 8.164, 8.164, 8.164 Å; angles 131.26, 131.26, 71.40 degrees
Element x y z (fractional)
Rb  0.176  0.176  0.000
Rb  0.824  0.824  0.000
Na  0.500  0.500  0.000
I  0.250  0.750  0.500
I  0.750  0.250  0.500

Calculated values
Energy, eV per atom: -24.8397
D(E_F), states/eV/f.u.: 1.44